Entry 1:
First-principles (PBE-GGA) data for a geometry-optimized ThZnNi structure, as listed in Alexandria via LeMat-Bulk.

a b c (Å): 4.345 4.884 5.969
angles (deg): 90.00 111.35 90.00
Space group P2_1/m (No. 11)
Symmetry-distinct sites (fractional):
Th 0.104 0.250 0.215 (multiplicity 2)
Zn 0.389 0.250 0.784 (multiplicity 2)
Ni 0.228 0.750 0.446 (multiplicity 2)

* volume: 19.66 A^3/atom
* crystal system: monoclinic
* E_form: -0.2957 eV/atom
* magnetic moment: 0.000 μB/atom
* density: 10026 kg/m3


Entry 2:
First-principles (PBE-GGA) data for a geometry-optimized Th3ZnNi3 structure, as listed in Alexandria via LeMat-Bulk.

a b c (Å): 8.5280 8.5280 5.3037
angles (deg): 90.00 90.00 120.00
Space group P6_3/m (No. 176)
Symmetry-distinct sites (fractional):
Th 0.0449 0.3498 0.2500 (multiplicity 6)
Zn 0.3333 0.6667 0.7500 (multiplicity 2)
Ni 0.0467 0.3654 0.7500 (multiplicity 6)

* volume: 23.86 A^3/atom
* crystal system: hexagonal
* E_form: -0.2133 eV/atom
* magnetic moment: 0.000 μB/atom
* density: 9322 kg/m3


Entry 3:
First-principles (PBE-GGA) data for a geometry-optimized Th2Zn3Ni2 structure, as listed in Alexandria via LeMat-Bulk.

a b c (Å): 9.573 4.113 6.894
angles (deg): 90.00 92.00 90.00
Space group C2/m (No. 12)
Symmetry-distinct sites (fractional):
Th 0.145 0.000 0.173 (multiplicity 4)
Zn 0.000 0.500 0.500 (multiplicity 2)
Zn 0.146 0.000 0.643 (multiplicity 4)
Ni 0.073 0.500 0.856 (multiplicity 4)

* volume: 19.38 A^3/atom
* crystal system: monoclinic
* E_form: -0.3217 eV/atom
* magnetic moment: 0.000 μB/atom
* excess energy over the best structure of this formula in the dataset: 6.0 kJ per mole of atoms
* density: 9521 kg/m3


Entry 4:
First-principles (PBE-GGA) data for a geometry-optimized ThZn4Ni2 structure, as listed in Alexandria via LeMat-Bulk.

a b c (Å): 7.502 7.502 3.971
angles (deg): 90.00 90.00 90.00
Space group P4_2/mnm (No. 136)
Symmetry-distinct sites (fractional):
Th 0.000 0.000 0.000 (multiplicity 2)
Zn 0.090 0.344 0.500 (multiplicity 8)
Ni 0.214 0.786 0.500 (multiplicity 4)

* volume: 15.96 A^3/atom
* crystal system: tetragonal
* E_form: -0.3554 eV/atom
* magnetic moment: 0.000 μB/atom
* excess energy over the best structure of this formula in the dataset: 0.0 kJ per mole of atoms
* density: 9081 kg/m3


Entry 5:
First-principles (PBE-GGA) data for a geometry-optimized ThZnNi structure, as listed in Alexandria via LeMat-Bulk.

a b c (Å): 6.384 6.384 6.384
angles (deg): 90.00 90.00 90.00
Space group F-43m (No. 216)
Symmetry-distinct sites (fractional):
Th 0.000 0.000 0.000 (multiplicity 4)
Zn 0.000 0.000 0.500 (multiplicity 4)
Ni 0.250 0.250 0.750 (multiplicity 4)

* volume: 21.68 A^3/atom
* crystal system: cubic
* E_form: -0.2726 eV/atom
* magnetic moment: 0.000 μB/atom
* density: 9093 kg/m3


Entry 6:
First-principles (PBE-GGA) data for a geometry-optimized ThZn6Ni6 structure, as listed in Alexandria via LeMat-Bulk.

a b c (Å): 4.965 8.395 8.691
angles (deg): 90.00 90.00 90.00
Space group Immm (No. 71)
Symmetry-distinct sites (fractional):
Th 0.000 0.000 0.000 (multiplicity 2)
Zn 0.000 0.000 0.354 (multiplicity 4)
Zn 0.000 0.348 0.000 (multiplicity 4)
Zn 0.000 0.500 0.287 (multiplicity 4)
Ni 0.000 0.277 0.500 (multiplicity 4)
Ni 0.250 0.250 0.250 (multiplicity 8)

* volume: 13.93 A^3/atom
* crystal system: orthorhombic
* E_form: -0.2870 eV/atom
* magnetic moment: 0.000 μB/atom
* density: 8954 kg/m3


Entry 7:
First-principles (PBE-GGA) data for a geometry-optimized ThZn5Ni2 structure, as listed in Alexandria via LeMat-Bulk.

a b c (Å): 3.857 7.407 9.125
angles (deg): 90.00 90.00 90.00
Space group Immm (No. 71)
Symmetry-distinct sites (fractional):
Th 0.000 0.000 0.000 (multiplicity 2)
Zn 0.000 0.182 0.345 (multiplicity 8)
Zn 0.000 0.500 0.000 (multiplicity 2)
Ni 0.000 0.500 0.270 (multiplicity 4)

* volume: 16.29 A^3/atom
* crystal system: orthorhombic
* E_form: -0.2987 eV/atom
* magnetic moment: 0.000 μB/atom
* density: 8618 kg/m3


Entry 8:
First-principles (PBE-GGA) data for a geometry-optimized Th2Zn3Ni5 structure, as listed in Alexandria via LeMat-Bulk.

a b c (Å): 9.873 12.249 5.416
angles (deg): 90.00 90.00 90.00
Space group Ibam (No. 72)
Symmetry-distinct sites (fractional):
Th 0.238 0.127 0.000 (multiplicity 8)
Zn 0.000 0.500 0.250 (multiplicity 4)
Zn 0.087 0.147 0.500 (multiplicity 8)
Ni 0.000 0.000 0.250 (multiplicity 4)
Ni 0.000 0.298 0.250 (multiplicity 8)
Ni 0.171 0.388 0.000 (multiplicity 8)

* volume: 16.37 A^3/atom
* crystal system: orthorhombic
* E_form: -0.3400 eV/atom
* magnetic moment: 0.000 μB/atom
* density: 9672 kg/m3


Q: The lowest density belongs to which entry?
A: ThZn5Ni2


Q: What is the formula in the third record?
A: Th2Zn3Ni2


Q: The lowest E_form belongs to which entry?
A: ThZn4Ni2


Q: Which value of E_form does entry 5 give?
A: -0.2726 eV/atom